1.
## BOs2Pt (PBE)

Data for an optimized crystal structure of BOs2Pt.

DFT total energy	-7.896	eV per atom
space-group type	I-42d

Unit cell a=4.4488 b=4.4488 c=7.3239 alpha=72.32 beta=72.32 gamma=90.00
Last column: nearest neighbours and their distance in Å.
Sites, in units of the cell vectors:
Os: 0.2370 0.6250 0.2500  2 B 2.09
B: 0.5000 0.5000 0.0000  4 Os 2.09
Pt: 0.7500 0.2500 0.5000  4 Os 2.56
Os: 0.8750 0.7630 0.7500  2 B 2.09
Os: 0.5130 0.1250 0.2500  2 B 2.09
B: 0.2500 0.7500 0.5000  4 Os 2.09
Os: 0.3750 0.4870 0.7500  2 B 2.09
Pt: 0.0000 0.0000 0.0000  4 Os 2.56

---

2.
## BOsPt3 (PBE)

Data for an optimized crystal structure of BOsPt3.

DFT total energy	-5.070	eV per atom
space-group type	Pm-3m

Unit cell a=4.8363 b=4.8363 c=4.8363 alpha=90.00 beta=90.00 gamma=90.00
Last column: nearest neighbours and their distance in Å.
Sites, in units of the cell vectors:
Os: 0.0000 0.0000 0.0000  6 Pt 2.42
B: 0.5000 0.5000 0.5000  12 Pt 3.42
Pt: 0.0000 0.0000 0.5000  2 Os 2.42
Pt: 0.0000 0.5000 0.0000  2 Os 2.42
Pt: 0.5000 0.0000 0.0000  2 Os 2.42

---

3.
## B2OsPt2 (PBE)

Data for an optimized crystal structure of B2OsPt2.

DFT total energy	-7.023	eV per atom
space-group type	P4/mbm

Unit cell a=6.2673 b=6.2673 c=2.9763 alpha=90.00 beta=90.00 gamma=90.00
Last column: nearest neighbours and their distance in Å.
Sites, in units of the cell vectors:
B: 0.3428 0.8428 0.0000  6 Pt 2.22-2.47, 2 Os 2.36
Pt: 0.8432 0.3432 0.5000  6 B 2.22-2.47
Pt: 0.1568 0.6568 0.5000  6 B 2.22-2.47
B: 0.6572 0.1572 0.0000  6 Pt 2.22-2.47, 2 Os 2.36
B: 0.1572 0.3428 0.0000  6 Pt 2.22-2.47, 2 Os 2.36
Os: 0.0000 0.0000 0.0000  4 B 2.36
Os: 0.5000 0.5000 0.0000  4 B 2.36
B: 0.8428 0.6572 0.0000  6 Pt 2.22-2.47, 2 Os 2.36
Pt: 0.3432 0.1568 0.5000  6 B 2.22-2.47
Pt: 0.6568 0.8432 0.5000  6 B 2.22-2.47

---

4.
## B3OsPt (PBE)

Data for an optimized crystal structure of B3OsPt.

DFT total energy	-6.281	eV per atom
space-group type	Pm-3m

Unit cell a=4.0598 b=4.0598 c=4.0598 alpha=90.00 beta=90.00 gamma=90.00
Last column: nearest neighbours and their distance in Å.
Sites, in units of the cell vectors:
B: 0.5000 0.0000 0.0000  2 Os 2.03
B: 0.0000 0.5000 0.0000  2 Os 2.03
Pt: 0.5000 0.5000 0.5000  12 B 2.87
B: 0.0000 0.0000 0.5000  2 Os 2.03
Os: 0.0000 0.0000 0.0000  6 B 2.03

---

5.
## B2Os2Pt (PBE)

Data for an optimized crystal structure of B2Os2Pt.

DFT total energy	-8.107	eV per atom
space-group type	P4/mbm

Unit cell a=6.3948 b=6.3948 c=2.7682 alpha=90.00 beta=90.00 gamma=90.00
Last column: nearest neighbours and their distance in Å.
Sites, in units of the cell vectors:
Pt: 0.0000 0.0000 0.0000  4 B 2.45
Os: 0.3510 0.1490 0.5000  6 B 2.32-2.33
B: 0.8551 0.6449 0.0000  6 Os 2.32-2.33, 2 Pt 2.45
Pt: 0.5000 0.5000 0.0000  4 B 2.45
B: 0.6449 0.1449 0.0000  6 Os 2.32-2.33, 2 Pt 2.45
Os: 0.1490 0.6490 0.5000  6 B 2.32-2.33
B: 0.3551 0.8551 0.0000  6 Os 2.32-2.33, 2 Pt 2.45
Os: 0.6490 0.8510 0.5000  6 B 2.32-2.33
Os: 0.8510 0.3510 0.5000  6 B 2.32-2.33
B: 0.1449 0.3551 0.0000  6 Os 2.32-2.33, 2 Pt 2.45

---

6.
## BOsPt (PBE)

Data for an optimized crystal structure of BOsPt.

DFT total energy	-7.883	eV per atom
space-group type	R-3m

Unit cell a=3.5676 b=3.5676 c=7.4542 alpha=76.15 beta=76.15 gamma=60.00
Last column: nearest neighbours and their distance in Å.
Sites, in units of the cell vectors:
Os: 0.6271 0.6271 0.1186  4 B 2.15-2.33
Pt: 0.1244 0.1244 0.6268  3 B 2.38
B: 0.7355 0.7355 0.7936  4 Os 2.15-2.33, 3 Pt 2.38
Pt: 0.8756 0.8756 0.3732  3 B 2.38
B: 0.2645 0.2645 0.2064  4 Os 2.15-2.33, 3 Pt 2.38
Os: 0.3729 0.3729 0.8814  4 B 2.15-2.33

---

7.
## BOsPtSe2 (PBE)

Data for an optimized crystal structure of BOsPtSe2.

DFT total energy	-5.173	eV per atom
raw formation energy	1.01	eV/atom
space-group type	P4/mmm

Unit cell a=4.8964 b=3.9548 c=4.8964 alpha=90.00 beta=90.00 gamma=90.00
Last column: nearest neighbours and their distance in Å.
Sites, in units of the cell vectors:
Se: 0.0000 0.0000 0.5000  2 Os 2.45
B: 0.0000 0.5000 0.0000  2 Os 1.98
Pt: 0.5000 0.5000 0.5000  8 Se 3.15, 4 B 3.46
Se: 0.5000 0.0000 0.0000  2 Os 2.45
Os: 0.0000 0.0000 0.0000  2 B 1.98

---

8.
## Sr2BOsPt (PBE)

Data for an optimized crystal structure of Sr2BOsPt.

DFT total energy	-4.331	eV per atom
space-group type	P4/mmm

Unit cell a=5.7684 b=4.7342 c=5.7684 alpha=90.00 beta=90.00 gamma=90.00
Last column: nearest neighbours and their distance in Å.
Sites, in units of the cell vectors:
Os: 0.0000 0.5000 0.0000  2 Pt 2.37
Pt: 0.0000 0.0000 0.0000  2 Os 2.37
Sr: 0.0000 0.0000 0.5000  2 Pt 2.88
B: 0.5000 0.5000 0.5000  8 Sr 3.73, 4 Os 4.08
Sr: 0.5000 0.0000 0.0000  2 Pt 2.88